[1]
This record from Alexandria via LeMat-Bulk describes a geometry-optimized BaMnBi2S4 structure. The functional is GGA-PBE.

Computed properties:
Space group ... No. 63
Formation energy without anion corrections ... -0.6678 eV/atom

Lattice parameters (Å, degrees): 4.042 7.413 15.791 90.00 90.00 105.82
Each line ends with the local moment (μB).
Fractional coordinates of all 16 atoms:
1 Ba 0.034 0.068 0.750  0.02
2 Ba 0.966 0.932 0.250  0.02
3 Mn 0.776 0.553 0.750  4.02
4 Mn 0.224 0.447 0.250  4.02
5 Bi 0.351 0.702 0.512  0.00
6 Bi 0.649 0.298 0.012  0.00
7 Bi 0.649 0.298 0.488  0.00
8 Bi 0.351 0.702 0.988  0.00
9 S 0.344 0.688 0.149  0.02
10 S 0.656 0.312 0.649  0.02
11 S 0.656 0.312 0.851  0.02
12 S 0.344 0.688 0.351  0.02
13 S 0.000 0.000 0.500  0.01
14 S 0.000 0.000 0.000  0.01
15 S 0.365 0.730 0.750  0.04
16 S 0.635 0.270 0.250  0.04

[2]
This record from Alexandria via LeMat-Bulk describes a geometry-optimized CaDy3Ga4 structure. The functional is GGA-PBE.

Computed properties:
Space group ... No. 123
Energy ... -64.47 eV for the cell shown

Lattice parameters (Å, degrees): 5.086 7.151 10.171 90.00 90.00 90.00
Fractional coordinates of all 16 atoms:
1 Ca 0.000 0.500 0.000
2 Ca 0.000 0.500 0.500
3 Ga 0.500 0.753 0.000
4 Ga 0.500 0.753 0.500
5 Ga 0.500 0.247 0.000
6 Ga 0.500 0.247 0.500
7 Ga 0.000 0.753 0.750
8 Ga 0.000 0.753 0.250
9 Ga 0.000 0.247 0.250
10 Ga 0.000 0.247 0.750
11 Dy 0.000 0.000 0.000
12 Dy 0.000 0.000 0.500
13 Dy 0.500 0.000 0.750
14 Dy 0.500 0.000 0.250
15 Dy 0.500 0.500 0.750
16 Dy 0.500 0.500 0.250

[3]
This record from Alexandria via LeMat-Bulk describes a geometry-optimized In2HgP structure. The functional is GGA-PBE.

Computed properties:
Energy relative to the lowest polymorph listed for this composition ... 68 kJ/mol of formula units
Space group ... No. 123

Lattice parameters (Å, degrees): 3.524 3.524 7.700 90.00 90.00 90.00
Fractional coordinates of all 4 atoms:
1 Hg 0.500 0.500 0.750
2 In 0.000 0.000 0.040
3 In 0.000 0.000 0.460
4 P 0.500 0.500 0.250

| no. | mass density (g cm⁻³) |
| --- | --- |
| 1 | 5.387 |
| 2 | 7.240 |
| 3 | 8.007 |